# BC, relaxed, DFT GGA-PBE
# Total moment ... 0.000 μB per formula unit
# D(E_F) ... 0.122 states/eV/atom
# Excess energy over the best structure of this formula in the dataset ... 256 meV/atom
data_BC
_cell_length_a 3.6328
_cell_length_b 3.9547
_cell_length_c 5.9755
_cell_angle_alpha 107.24
_cell_angle_beta 92.25
_cell_angle_gamma 90.59
_space_group_name_H-M_alt 'P 1'
_space_group_IT_number 1
loop_
_space_group_symop_operation_xyz
'x,y,z'
loop_
_atom_site_label
_atom_site_type_symbol
_atom_site_fract_x
_atom_site_fract_y
_atom_site_fract_z
B1 B 0.0000 0.0000 0.0000
B2 B 0.0016 0.2169 0.5606
B3 B 0.2996 0.5576 0.7555
B4 B 0.5302 0.0762 0.2813
B5 B 0.7230 0.1072 0.7925
B6 B 0.7532 0.4906 0.4489
C1 C 0.0321 0.6089 0.2758
C2 C 0.2573 0.9142 0.4386
C3 C 0.2867 0.3114 0.1332
C4 C 0.5045 0.7880 0.6040
C5 C 0.5094 0.4611 0.9668
C6 C 0.7795 0.7515 0.1143

# BC, relaxed, DFT GGA-PBE
# Total moment ... 0.000 μB per formula unit
# D(E_F) ... 0.122 states/eV/atom
# Excess energy over the best structure of this formula in the dataset ... 273 meV/atom
data_BC
_cell_length_a 4.4944
_cell_length_b 4.5413
_cell_length_c 4.6601
_cell_angle_alpha 118.63
_cell_angle_beta 102.19
_cell_angle_gamma 96.64
_space_group_name_H-M_alt 'P 1'
_space_group_IT_number 1
loop_
_space_group_symop_operation_xyz
'x,y,z'
loop_
_atom_site_label
_atom_site_type_symbol
_atom_site_fract_x
_atom_site_fract_y
_atom_site_fract_z
B1 B 0.0000 0.0000 0.0000
B2 B 0.0245 0.3144 0.7397
B3 B 0.1916 0.4234 0.4332
B4 B 0.2203 0.9850 0.7212
B5 B 0.5800 0.8256 0.8671
B6 B 0.6169 0.2029 0.8763
C1 C 0.0265 0.6735 0.3515
C2 C 0.1515 0.7108 0.0816
C3 C 0.5165 0.8213 0.1943
C4 C 0.5538 0.4710 0.4937
C5 C 0.6583 0.1870 0.5256
C6 C 0.6695 0.5536 0.2390

# BC, relaxed, DFT GGA-PBE
# Total moment ... 0.000 μB per formula unit
# D(E_F) ... 0.103 states/eV/atom
# Excess energy over the best structure of this formula in the dataset ... 276 meV/atom
data_BC
_cell_length_a 2.5627
_cell_length_b 2.5627
_cell_length_c 14.0953
_cell_angle_alpha 90.00
_cell_angle_beta 90.00
_cell_angle_gamma 120.00
_space_group_name_H-M_alt 'P 3 m 1'
_space_group_IT_number 156
loop_
_space_group_symop_operation_xyz
'x,y,z'
'-y,x-y,z'
'-x+y,-x,z'
'-y,-x,z'
'-x+y,y,z'
'x,x-y,z'
loop_
_atom_site_label
_atom_site_type_symbol
_atom_site_fract_x
_atom_site_fract_y
_atom_site_fract_z
B1 B 0.0000 0.0000 0.0000
B2 B 0.0000 0.0000 0.1207
B3 B 0.0000 0.0000 0.6183
B4 B 0.3333 0.6667 0.2803
B5 B 0.6667 0.3333 0.3550
B6 B 0.6667 0.3333 0.9221
C1 C 0.0000 0.0000 0.5025
C2 C 0.3333 0.6667 0.1715
C3 C 0.3333 0.6667 0.6648
C4 C 0.3333 0.6667 0.7723
C5 C 0.6667 0.3333 0.4674
C6 C 0.6667 0.3333 0.8101

# BC, relaxed, DFT GGA-PBE
# Total moment ... 0.000 μB per formula unit
# D(E_F) ... 0.098 states/eV/atom
# Excess energy over the best structure of this formula in the dataset ... 251 meV/atom
data_BC
_cell_length_a 14.3212
_cell_length_b 2.6215
_cell_length_c 4.5365
_cell_angle_alpha 90.00
_cell_angle_beta 107.36
_cell_angle_gamma 90.00
_space_group_name_H-M_alt 'C 1 m 1'
_space_group_IT_number 8
loop_
_space_group_symop_operation_xyz
'x,y,z'
'x,-y,z'
'x+1/2,y+1/2,z'
'x+1/2,-y+1/2,z'
loop_
_atom_site_label
_atom_site_type_symbol
_atom_site_fract_x
_atom_site_fract_y
_atom_site_fract_z
B1 B 0.0000 0.0000 0.0000
B2 B 0.0038 0.5000 0.5379
B3 B 0.1318 0.5000 0.9726
B4 B 0.3047 0.0000 0.9800
B5 B 0.4272 0.5000 0.5981
B6 B 0.4317 0.0000 0.1475
C1 C 0.1150 0.0000 0.1362
C2 C 0.1184 0.5000 0.6158
C3 C 0.1547 0.0000 0.4922
C4 C 0.2707 0.0000 0.6072
C5 C 0.2988 0.5000 0.1527
C6 C 0.3103 0.5000 0.4911

Computed E_form, in the same sequence as the records: 0.407; 0.424; 0.427; 0.402 eV per atom.